## TmPu2Pb9 (GGA-PBE)

Data for a geometry-optimized TmPu2Pb9 structure.

```
12
Lattice="5.6241 0.0000 0.0000 0.0000 5.6241 0.0000 0.0000 0.0000 11.2160" Properties=species:S:1:pos:R:3 pbc="T T T"
Tm 0.0000 0.0000 0.0000
Pu 0.0000 0.0000 3.7008
Pu 0.0000 0.0000 7.5152
Pb 0.0000 2.8121 1.7962
Pb 0.0000 2.8121 5.6080
Pb 0.0000 2.8121 9.4198
Pb 2.8121 0.0000 1.7962
Pb 2.8121 0.0000 5.6080
Pb 2.8121 0.0000 9.4198
Pb 2.8121 2.8121 0.0000
Pb 2.8121 2.8121 3.6984
Pb 2.8121 2.8121 7.5176
```

Calculated values
As for the crystal system: tetragonal. The total energy comes out at -67.58 eV/cell.